(1)
This record from Alexandria via LeMat-Bulk describes crystalline NaP2N4 at its relaxed geometry. The functional is GGA-PBE.

Results
* E_form (uncorrected): -0.186 eV per atom
* volume: 12.54 Å³/atom
* SG: No. 111

Cell: 3.8655 3.8655 5.8750 Å, 90.00 90.00 90.00°
Fractional positions:
Na 0.0000 0.0000 0.0000
P 0.5000 0.0000 0.5000
P 0.0000 0.5000 0.5000
N 0.7488 0.2512 0.6619
N 0.2512 0.2512 0.3381
N 0.2512 0.7488 0.6619
N 0.7488 0.7488 0.3381

(2)
This record from Alexandria via LeMat-Bulk describes crystalline Nb2ZnCuI at its relaxed geometry. The functional is GGA-PBE.

Results
* E_form (uncorrected): 1.117 eV per atom
* volume: 21.59 Å³/atom
* SG: No. 123

Cell: 4.9733 4.3649 4.9733 Å, 90.00 90.00 90.00°
Fractional positions:
I 0.5000 0.5000 0.5000
Nb 0.0000 0.0000 0.5000
Nb 0.5000 0.0000 0.0000
Zn 0.0000 0.0000 0.0000
Cu 0.0000 0.5000 0.0000